First-principles (PBE) data for Ce5Te2Os2 after structural relaxation, as listed in Alexandria.

```
Ce5Te2Os2
1.0
-4.004 6.711 -0.794
-0.595 -1.273 -7.755
-8.768 -0.544 0.762
Ce Te Os
10 4 4
Direct
0.000 0.000 0.000
0.500 0.500 0.000
0.455 0.162 0.769
0.777 0.838 0.769
0.277 0.662 0.769
0.955 0.338 0.769
0.545 0.838 0.231
0.223 0.162 0.231
0.723 0.338 0.231
0.045 0.662 0.231
0.207 0.000 0.586
0.707 0.500 0.586
0.793 0.000 0.414
0.293 0.500 0.414
0.141 0.362 0.000
0.859 0.638 0.000
0.359 0.862 0.000
0.641 0.138 0.000
```

Output
- energy relative to the elements, uncorrected (kJ per mole of atoms) = -66.5

First-principles (PBE) data for LaMg2I2 after structural relaxation, as listed in Alexandria.

```
LaMg2I2
1.0
-2.030 -5.438 -6.017
4.041 -6.056 4.111
-4.405 -1.196 2.567
I Mg La
4 4 2
Direct
0.349 0.849 0.000
0.849 0.651 0.000
0.651 0.151 0.000
0.151 0.349 0.000
0.198 0.698 0.500
0.698 0.802 0.500
0.802 0.302 0.500
0.302 0.198 0.500
0.000 0.000 0.000
0.500 0.500 0.000
```

Output
- energy relative to the elements, uncorrected (kJ per mole of atoms) = -29.5

First-principles (PBE) data for CeNiS3 after structural relaxation, as listed in Alexandria.

```
CeNiS3
1.0
4.405 0.000 0.000
0.000 6.055 0.000
0.000 -3.027 6.723
Ce Ni S
2 2 6
Direct
0.000 0.650 0.300
0.000 0.350 0.700
0.500 0.111 0.222
0.500 0.889 0.778
0.500 0.288 0.000
0.000 0.862 0.723
0.500 0.712 0.000
0.500 0.500 0.500
0.000 0.138 0.277
0.500 0.000 0.500
```

Output
- energy relative to the elements, uncorrected (kJ per mole of atoms) = -98.2

First-principles (PBE) data for ZrHg3S after structural relaxation, as listed in Alexandria.

```
ZrHg3S
1.0
5.598 0.000 0.000
0.000 5.598 0.000
0.000 0.000 5.598
S Hg Zr
1 3 1
Direct
0.500 0.500 0.500
0.000 0.500 0.000
0.000 0.000 0.500
0.500 0.000 0.000
0.000 0.000 0.000
```

Output
- energy relative to the elements, uncorrected (kJ per mole of atoms) = 76.8

First-principles (PBE) data for KMo8 after structural relaxation, as listed in Alexandria.

```
KMo8
1.0
2.500 -5.652 0.341
0.048 5.000 3.647
-5.946 -1.579 0.679
K Mo
1 8
Direct
0.000 0.000 0.000
0.680 0.320 0.000
0.320 0.680 0.000
0.000 0.654 0.654
0.320 0.320 0.641
0.654 0.000 0.654
0.680 0.680 0.359
0.000 0.346 0.346
0.346 0.000 0.346
```

Output
- energy relative to the elements (eV per atom) = 0.863

First-principles (PBE) data for RbNp2Te4Pd after structural relaxation, as listed in Alexandria.

```
RbNp2Te4Pd
1.0
4.416 0.000 0.000
-2.208 7.669 0.000
0.000 0.000 15.479
Rb Np Te Pd
2 4 8 2
Direct
0.115 0.229 0.750
0.885 0.771 0.250
0.367 0.734 0.567
0.633 0.266 0.067
0.633 0.266 0.433
0.367 0.734 0.933
0.266 0.532 0.107
0.734 0.468 0.607
0.734 0.468 0.893
0.266 0.532 0.393
0.000 0.000 0.500
0.000 0.000 0.000
0.436 0.872 0.750
0.564 0.128 0.250
0.837 0.674 0.750
0.163 0.326 0.250
```

Output
- energy relative to the elements, uncorrected (kJ per mole of atoms) = -69.0